[1]
The following is a DFT calculation (PBEsol) of a relaxed Na2PdSe2 crystal.

Values from the calculation:
Calculated density ... 4.7 g cm⁻³
Calculated volume ... 221.5 Å³/cell
SG ... Cmc2_1 (36)
Energy relative to the elements, uncorrected ... -0.798 eV/atom

Unit cell a=5.6573 b=5.6573 c=11.2136 alpha=90.00 beta=90.00 gamma=141.89
Fractional positions:
1 Na 0.0654 0.9346 0.5000
2 Na 0.3274 0.6726 0.2755
3 Na 0.6726 0.3274 0.7755
4 Na 0.9346 0.0654 0.0000
5 Pd 0.3640 0.6360 0.6190
6 Pd 0.6360 0.3640 0.1190
7 Se 0.0512 0.9488 0.2398
8 Se 0.2196 0.7804 0.9971
9 Se 0.7804 0.2196 0.4971
10 Se 0.9488 0.0512 0.7398

[2]
The following is a DFT calculation (PBEsol) of a relaxed Re2SnTeN crystal.

Values from the calculation:
Calculated density ... 7.2 g cm⁻³
Calculated volume ... 145.6 Å³/cell
SG ... P4/mmm (123)
Energy relative to the elements, uncorrected ... 3.547 eV/atom
Density of states at the Fermi level ... 1.2365 states/eV/atom

Unit cell a=5.0696 b=5.0696 c=5.6647 alpha=90.00 beta=90.00 gamma=90.00
Fractional positions:
1 Re 0.0000 0.5000 0.0000
2 Re 0.5000 0.0000 0.0000
3 Sn 0.0000 0.0000 0.0000
4 Te 0.0000 0.0000 0.5000
5 N 0.5000 0.5000 0.5000

[3]
The following is a DFT calculation (PBEsol) of a relaxed SmC6 crystal.

Values from the calculation:
Calculated density ... 5.0 g cm⁻³
Calculated volume ... 74.4 Å³/cell
SG ... P6/mmm (191)
Density of states at the Fermi level ... 0.2512 states/eV/atom
DFT formation energy ... -91 meV/atom

Unit cell a=4.3129 b=4.3129 c=4.6207 alpha=90.00 beta=90.00 gamma=120.00
Fractional positions:
1 Sm 0.0000 0.0000 0.0000
2 C 0.0000 0.3330 0.5000
3 C 0.0000 0.6670 0.5000
4 C 0.3330 0.0000 0.5000
5 C 0.3330 0.3330 0.5000
6 C 0.6670 0.0000 0.5000
7 C 0.6670 0.6670 0.5000

[4]
The following is a DFT calculation (PBEsol) of a relaxed PrBrO crystal.

Values from the calculation:
Calculated density ... 5.5 g cm⁻³
Calculated volume ... 142.9 Å³/cell
SG ... R-3m (166)
Energy relative to the elements, uncorrected ... -2.822 eV/atom
Density of states at the Fermi level ... 0.0000 states/eV/atom

Unit cell a=10.5300 b=10.5300 c=10.5300 alpha=21.94 beta=21.94 gamma=21.94
Fractional positions:
1 Pr 0.2149 0.2149 0.2149
2 Pr 0.7851 0.7851 0.7851
3 Br 0.3884 0.3884 0.3884
4 Br 0.6116 0.6116 0.6116
5 O 0.1381 0.1381 0.1381
6 O 0.8619 0.8619 0.8619